No. 1
A plane-wave DFT calculation with PBE was carried out for a relaxed AsIr crystal.

Lattice parameters (Å, degrees): 4.448 4.448 4.448 141.02 141.02 56.31
Fractional coordinates of all 2 atoms:
As  0.000  0.000  0.000
Ir  0.679  0.679  0.000

Output
Crystal system ... tetragonal
VASP energy ... -13.649 eV/cell

No. 2
A plane-wave DFT calculation with PBE was carried out for a relaxed AsIr crystal.

Lattice parameters (Å, degrees): 4.453 4.453 4.698 104.99 104.99 46.89
Fractional coordinates of all 4 atoms:
As  0.112  0.112  0.299
As  0.888  0.888  0.701
Ir  0.389  0.389  0.184
Ir  0.611  0.611  0.816

Output
Crystal system ... monoclinic
VASP energy ... -26.707 eV/cell

No. 3
A plane-wave DFT calculation with PBE was carried out for a relaxed AsIr crystal.

Lattice parameters (Å, degrees): 3.936 3.936 17.990 90.00 90.00 120.00
Fractional coordinates of all 12 atoms:
As  0.000  0.000  0.204
As  0.000  0.000  0.796
As  0.333  0.667  0.051
As  0.333  0.667  0.606
As  0.667  0.333  0.394
As  0.667  0.333  0.949
Ir  0.000  0.000  0.350
Ir  0.000  0.000  0.650
Ir  0.333  0.667  0.747
Ir  0.333  0.667  0.902
Ir  0.667  0.333  0.098
Ir  0.667  0.333  0.253

Output
Crystal system ... trigonal
VASP energy ... -81.080 eV/cell

No. 4
A plane-wave DFT calculation with PBE was carried out for a relaxed AsIr crystal.

Lattice parameters (Å, degrees): 3.719 3.719 2.896 90.00 90.00 120.00
Fractional coordinates of all 2 atoms:
As  0.000  0.000  0.000
Ir  0.667  0.333  0.500

Output
Crystal system ... hexagonal
VASP energy ... -13.149 eV/cell

No. 5
A plane-wave DFT calculation with PBE was carried out for a relaxed As8Ir crystal.

Lattice parameters (Å, degrees): 6.330 6.330 6.330 99.96 99.96 130.84
Fractional coordinates of all 9 atoms:
As  0.000  0.309  0.309
As  0.000  0.691  0.691
As  0.309  0.000  0.309
As  0.340  0.340  0.680
As  0.340  0.660  0.000
As  0.660  0.340  0.000
As  0.660  0.660  0.320
As  0.691  0.000  0.691
Ir  0.000  0.000  0.000

Output
Crystal system ... tetragonal
VASP energy ... -42.197 eV/cell

No. 6
A plane-wave DFT calculation with PBE was carried out for a relaxed AsIr crystal.

Lattice parameters (Å, degrees): 7.508 7.508 2.960 90.00 90.00 90.00
Fractional coordinates of all 8 atoms:
As  0.188  0.188  0.000
As  0.312  0.688  0.500
As  0.688  0.312  0.500
As  0.812  0.812  0.000
Ir  0.134  0.866  0.000
Ir  0.366  0.366  0.500
Ir  0.634  0.634  0.500
Ir  0.866  0.134  0.000

Output
Crystal system ... tetragonal
VASP energy ... -54.184 eV/cell

No. 7
A plane-wave DFT calculation with PBE was carried out for a relaxed As3Ir crystal.

Lattice parameters (Å, degrees): 2.931 2.931 8.478 90.00 90.00 90.00
Fractional coordinates of all 4 atoms:
As  0.000  0.000  0.000
As  0.500  0.500  0.298
As  0.500  0.500  0.702
Ir  0.000  0.000  0.500

Output
Crystal system ... tetragonal
ΔE to the lowest computed polymorph ... 0.627 eV per atom
VASP energy ... -22.014 eV/cell

No. 8
A plane-wave DFT calculation with PBE was carried out for a relaxed AsIr crystal.

Lattice parameters (Å, degrees): 4.504 2.966 4.763 90.00 90.00 90.00
Fractional coordinates of all 4 atoms:
As  0.250  0.000  0.235
As  0.750  0.000  0.765
Ir  0.250  0.500  0.692
Ir  0.750  0.500  0.308

Output
Crystal system ... orthorhombic
VASP energy ... -26.157 eV/cell

No. 9
A plane-wave DFT calculation with PBE was carried out for a relaxed As5Ir crystal.

Lattice parameters (Å, degrees): 5.433 5.433 5.433 60.00 60.00 60.00
Fractional coordinates of all 6 atoms:
As  0.000  0.000  0.000
As  0.123  0.626  0.626
As  0.626  0.123  0.626
As  0.626  0.626  0.123
As  0.626  0.626  0.626
Ir  0.250  0.250  0.250

Output
Crystal system ... cubic
ΔE to the lowest computed polymorph ... 0.890 eV per atom
VASP energy ... -26.687 eV/cell

No. 10
A plane-wave DFT calculation with PBE was carried out for a relaxed AsIr crystal.

Lattice parameters (Å, degrees): 3.014 3.014 3.439 90.00 90.00 90.00
Fractional coordinates of all 2 atoms:
As  0.000  0.000  0.000
Ir  0.500  0.500  0.500

Output
Crystal system ... tetragonal
VASP energy ... -13.031 eV/cell

No. 11
A plane-wave DFT calculation with PBE was carried out for a relaxed KAsIr2 crystal.

Lattice parameters (Å, degrees): 5.245 5.245 6.643 111.50 111.50 32.05
Fractional coordinates of all 4 atoms:
K  0.000  0.000  0.000
As  0.180  0.180  0.674
Ir  0.478  0.478  0.450
Ir  0.763  0.763  0.443

Output
Crystal system ... monoclinic
VASP energy ... -23.205 eV/cell

No. 12
A plane-wave DFT calculation with PBE was carried out for a relaxed K2AsIr crystal.

Lattice parameters (Å, degrees): 3.424 3.424 10.049 90.00 90.00 90.00
Fractional coordinates of all 4 atoms:
K  0.000  0.000  0.000
K  0.500  0.500  0.427
As  0.000  0.000  0.669
Ir  0.500  0.500  0.754

Output
Crystal system ... tetragonal
VASP energy ... -15.598 eV/cell

No. 13
A plane-wave DFT calculation with PBE was carried out for a relaxed KAs2Ir2 crystal.

Lattice parameters (Å, degrees): 7.337 7.337 7.337 147.86 147.86 46.09
Fractional coordinates of all 5 atoms:
K  0.000  0.000  0.000
As  0.354  0.354  0.000
As  0.646  0.646  0.000
Ir  0.250  0.750  0.500
Ir  0.750  0.250  0.500

Output
Crystal system ... tetragonal
VASP energy ... -30.397 eV/cell

No. 14
A plane-wave DFT calculation with PBE was carried out for a relaxed KAsIr crystal.

Lattice parameters (Å, degrees): 4.112 4.112 5.427 90.00 90.00 120.00
Fractional coordinates of all 3 atoms:
K  0.000  0.000  0.000
As  0.333  0.667  0.500
Ir  0.667  0.333  0.500

Output
Crystal system ... hexagonal
VASP energy ... -15.067 eV/cell

No. 15
A plane-wave DFT calculation with PBE was carried out for a relaxed KAsIr2 crystal.

Lattice parameters (Å, degrees): 5.361 5.361 2.744 90.00 90.00 113.90
Fractional coordinates of all 4 atoms:
K  0.000  0.000  0.000
As  0.500  0.500  0.000
Ir  0.000  0.500  0.500
Ir  0.500  0.000  0.500

Output
Crystal system ... orthorhombic
VASP energy ... -19.694 eV/cell

No. 16
A plane-wave DFT calculation with PBE was carried out for a relaxed KAsIr2 crystal.

Lattice parameters (Å, degrees): 2.988 2.988 8.587 90.00 90.00 90.00
Fractional coordinates of all 4 atoms:
K  0.000  0.000  0.000
As  0.500  0.500  0.324
Ir  0.000  0.000  0.497
Ir  0.500  0.500  0.701

Output
Crystal system ... tetragonal
VASP energy ... -22.363 eV/cell

No. 17
A plane-wave DFT calculation with PBE was carried out for a relaxed K2AsIr crystal.

Lattice parameters (Å, degrees): 4.166 4.166 9.760 101.78 101.78 60.71
Fractional coordinates of all 4 atoms:
K  0.000  0.000  0.000
K  0.167  0.167  0.519
As  0.416  0.416  0.260
Ir  0.750  0.750  0.260

Output
Crystal system ... monoclinic
VASP energy ... -16.248 eV/cell

No. 18
A plane-wave DFT calculation with PBE was carried out for a relaxed KAsIr2 crystal.

Lattice parameters (Å, degrees): 2.719 5.037 5.342 90.00 90.00 90.00
Fractional coordinates of all 4 atoms:
K  0.000  0.000  0.000
As  0.500  0.500  0.000
Ir  0.000  0.500  0.500
Ir  0.500  0.000  0.500

Output
Crystal system ... orthorhombic
VASP energy ... -20.013 eV/cell

No. 19
A plane-wave DFT calculation with PBE was carried out for a relaxed K2AsIr crystal.

Lattice parameters (Å, degrees): 6.016 6.016 6.016 140.35 140.35 57.32
Fractional coordinates of all 4 atoms:
K  0.250  0.750  0.500
K  0.750  0.250  0.500
As  0.000  0.000  0.000
Ir  0.500  0.500  0.000

Output
Crystal system ... tetragonal
VASP energy ... -13.801 eV/cell

No. 20
A plane-wave DFT calculation with PBE was carried out for a relaxed KAs2Ir2 crystal.

Lattice parameters (Å, degrees): 4.035 4.035 6.538 90.00 90.00 90.00
Fractional coordinates of all 5 atoms:
K  0.000  0.000  0.000
As  0.500  0.500  0.270
As  0.500  0.500  0.730
Ir  0.000  0.500  0.500
Ir  0.500  0.000  0.500

Output
Crystal system ... tetragonal
VASP energy ... -29.088 eV/cell

No. 21
A plane-wave DFT calculation with PBE was carried out for a relaxed KAsIr crystal.

Lattice parameters (Å, degrees): 6.547 6.547 6.547 152.55 148.83 42.01
Fractional coordinates of all 3 atoms:
K  0.000  0.000  0.000
As  0.712  0.712  0.000
Ir  0.288  0.288  0.000

Output
Crystal system ... orthorhombic
VASP energy ... -14.890 eV/cell

No. 22
A plane-wave DFT calculation with PBE was carried out for a relaxed KAs4Ir crystal.

Lattice parameters (Å, degrees): 5.599 5.599 5.599 60.00 60.00 60.00
Fractional coordinates of all 6 atoms:
K  0.000  0.000  0.000
As  0.135  0.622  0.622
As  0.622  0.135  0.622
As  0.622  0.622  0.135
As  0.622  0.622  0.622
Ir  0.250  0.250  0.250

Output
Crystal system ... cubic
VASP energy ... -24.863 eV/cell

No. 23
A plane-wave DFT calculation with PBE was carried out for a relaxed KAsIr2 crystal.

Lattice parameters (Å, degrees): 2.885 4.312 6.902 90.00 96.51 90.00
Fractional coordinates of all 4 atoms:
K  0.000  0.000  0.000
As  0.589  0.500  0.321
Ir  0.167  0.500  0.623
Ir  0.636  0.000  0.536

Output
Crystal system ... monoclinic
VASP energy ... -22.815 eV/cell

No. 24
A plane-wave DFT calculation with PBE was carried out for a relaxed K2AsIr crystal.

Lattice parameters (Å, degrees): 3.333 5.226 5.288 90.00 90.00 90.00
Fractional coordinates of all 4 atoms:
K  0.002  0.000  0.252
K  0.998  0.000  0.748
As  0.500  0.500  0.000
Ir  0.500  0.500  0.500

Output
Crystal system ... monoclinic
VASP energy ... -13.866 eV/cell

No. 25
A plane-wave DFT calculation with PBE was carried out for a relaxed KAsIr2 crystal.

Lattice parameters (Å, degrees): 2.896 2.896 9.775 90.00 90.00 117.52
Fractional coordinates of all 4 atoms:
K  0.000  0.000  0.000
As  0.000  0.000  0.500
Ir  0.500  0.500  0.290
Ir  0.500  0.500  0.710

Output
Crystal system ... orthorhombic
VASP energy ... -20.977 eV/cell

No. 26
A plane-wave DFT calculation with PBE was carried out for a relaxed K2AsIr crystal.

Lattice parameters (Å, degrees): 6.271 6.271 6.271 142.00 125.68 68.21
Fractional coordinates of all 4 atoms:
K  0.000  0.000  0.000
K  0.690  0.190  0.500
As  0.285  0.785  0.500
Ir  0.391  0.391  0.000

Output
Crystal system ... orthorhombic
VASP energy ... -16.102 eV/cell

No. 27
A plane-wave DFT calculation with PBE was carried out for a relaxed KAsIr2 crystal.

Lattice parameters (Å, degrees): 2.888 3.881 7.808 90.00 99.78 90.00
Fractional coordinates of all 4 atoms:
K  0.000  0.000  0.000
As  0.000  0.000  0.500
Ir  0.338  0.500  0.657
Ir  0.662  0.500  0.343

Output
Crystal system ... monoclinic
VASP energy ... -21.423 eV/cell

No. 28
A plane-wave DFT calculation with PBE was carried out for a relaxed K3AsIr crystal.

Lattice parameters (Å, degrees): 6.043 6.043 6.043 90.00 90.00 90.00
Fractional coordinates of all 5 atoms:
K  0.000  0.000  0.500
K  0.000  0.500  0.000
K  0.500  0.000  0.000
As  0.500  0.500  0.500
Ir  0.000  0.000  0.000

Output
Crystal system ... cubic
VASP energy ... -12.629 eV/cell

No. 29
A plane-wave DFT calculation with PBE was carried out for a relaxed KAsIr2 crystal.

Lattice parameters (Å, degrees): 4.136 4.136 4.109 90.00 90.00 90.00
Fractional coordinates of all 4 atoms:
K  0.000  0.000  0.000
As  0.500  0.500  0.000
Ir  0.000  0.500  0.500
Ir  0.500  0.000  0.500

Output
Crystal system ... tetragonal
VASP energy ... -19.849 eV/cell

No. 30
A plane-wave DFT calculation with PBE was carried out for a relaxed KAsIr2 crystal.

Lattice parameters (Å, degrees): 4.986 4.986 4.986 130.23 130.23 73.04
Fractional coordinates of all 4 atoms:
K  0.000  0.000  0.000
As  0.500  0.500  0.000
Ir  0.250  0.750  0.500
Ir  0.750  0.250  0.500

Output
Crystal system ... tetragonal
VASP energy ... -19.742 eV/cell